(P)
## Mn2SiHg (PBEsol)

Data for an optimized crystal structure of Mn2SiHg.

Geometry as CIF:
```
data_Mn2SiHg
_space_group_name_H-M_alt 'F -4 3 m'
_space_group_IT_number 216
_space_group_name_Hall 'F -4 2 3'
_cell_length_a 6.0693
_cell_length_b 6.0693
_cell_length_c 6.0693
_cell_angle_alpha 90.00
_cell_angle_beta 90.00
_cell_angle_gamma 90.00
loop_
_atom_site_label
_atom_site_fract_x
_atom_site_fract_y
_atom_site_fract_z
Mn1 0.0000 0.0000 0.0000
Mn2 0.2500 0.2500 0.2500
Si1 0.0000 0.0000 0.5000
Hg1 0.2500 0.2500 0.7500
```

Computed properties:
ρ in g/cm3: 10.1

(Q)
## Mn2SiHg (PBEsol)

Data for an optimized crystal structure of Mn2SiHg.

Geometry as CIF:
```
data_Mn2SiHg
_space_group_name_H-M_alt 'I -4 m 2'
_space_group_IT_number 119
_space_group_name_Hall 'I -4 -2'
_cell_length_a 3.7174
_cell_length_b 3.7174
_cell_length_c 8.4259
_cell_angle_alpha 90.00
_cell_angle_beta 90.00
_cell_angle_gamma 90.00
loop_
_atom_site_label
_atom_site_fract_x
_atom_site_fract_y
_atom_site_fract_z
Mn1 0.0000 0.0000 0.0000
Mn2 0.0000 0.5000 0.2500
Si1 0.0000 0.0000 0.5000
Hg1 0.0000 0.5000 0.7500
```

Computed properties:
ρ in g/cm3: 9.7

Relative energies with respect to the most stable structure, expressed in eV/atom: (P) 0.230; (Q) 0.000.

(P)
## Mn2SiHg (PBEsol)

Data for an optimized crystal structure of Mn2SiHg.

Geometry as CIF:
```
data_Mn2SiHg
_space_group_name_H-M_alt 'P 1 m 1'
_space_group_IT_number 6
_space_group_name_Hall 'P -2y'
_cell_length_a 2.7691
_cell_length_b 4.0847
_cell_length_c 5.0848
_cell_angle_alpha 90.00
_cell_angle_beta 93.61
_cell_angle_gamma 90.00
loop_
_atom_site_label
_atom_site_fract_x
_atom_site_fract_y
_atom_site_fract_z
Mn1 0.0000 0.0000 0.0000
Mn2 0.1250 0.5000 0.7147
Si1 0.5911 0.5000 0.1141
Hg1 0.5810 0.0000 0.4866
```

Computed properties:
ρ in g/cm3: 9.8

(Q)
## Mn2SiHg (PBEsol)

Data for an optimized crystal structure of Mn2SiHg.

Geometry as CIF:
```
data_Mn2SiHg
_space_group_name_H-M_alt 'I m m m'
_space_group_IT_number 71
_space_group_name_Hall '-I 2 2'
_cell_length_a 3.5530
_cell_length_b 4.2965
_cell_length_c 7.4094
_cell_angle_alpha 90.00
_cell_angle_beta 90.00
_cell_angle_gamma 90.00
loop_
_atom_site_label
_atom_site_fract_x
_atom_site_fract_y
_atom_site_fract_z
Mn1 0.0000 0.0000 0.2237
Si1 0.0000 0.5000 0.5000
Hg1 0.0000 0.5000 0.0000
```

Computed properties:
ρ in g/cm3: 9.9

(R)
## Mn2SiHg (PBEsol)

Data for an optimized crystal structure of Mn2SiHg.

Geometry as CIF:
```
data_Mn2SiHg
_space_group_name_H-M_alt 'C m m m'
_space_group_IT_number 65
_space_group_name_Hall '-C 2 2'
_cell_length_a 3.9004
_cell_length_b 3.9106
_cell_length_c 7.1007
_cell_angle_alpha 90.00
_cell_angle_beta 90.00
_cell_angle_gamma 90.00
loop_
_atom_site_label
_atom_site_fract_x
_atom_site_fract_y
_atom_site_fract_z
Mn1 0.0000 0.0000 0.2065
Si1 0.0000 0.5000 0.0000
Hg1 0.0000 0.5000 0.5000
```

Computed properties:
ρ in g/cm3: 10.4

Relative energies with respect to the most stable structure, expressed in eV/atom: (P) 0.204; (Q) 0.190; (R) 0.000.

(P)
## Mn2TlHg (PBEsol)

Data for an optimized crystal structure of Mn2TlHg.

Geometry as CIF:
```
data_Mn2TlHg
_space_group_name_H-M_alt 'I -4 m 2'
_space_group_IT_number 119
_space_group_name_Hall 'I -4 -2'
_cell_length_a 3.9435
_cell_length_b 3.9435
_cell_length_c 9.1458
_cell_angle_alpha 90.00
_cell_angle_beta 90.00
_cell_angle_gamma 90.00
loop_
_atom_site_label
_atom_site_fract_x
_atom_site_fract_y
_atom_site_fract_z
Mn1 0.0000 0.0000 0.0000
Mn2 0.0000 0.5000 0.2500
Tl1 0.0000 0.0000 0.5000
Hg1 0.0000 0.5000 0.7500
```

Computed properties:
ρ in g/cm3: 12.0

(Q)
## Mn2TlHg (PBEsol)

Data for an optimized crystal structure of Mn2TlHg.

Geometry as CIF:
```
data_Mn2TlHg
_space_group_name_H-M_alt 'R -3 m'
_space_group_IT_number 166
_space_group_name_Hall '-R 3 2"'
_cell_length_a 3.1297
_cell_length_b 3.1297
_cell_length_c 26.3767
_cell_angle_alpha 90.00
_cell_angle_beta 90.00
_cell_angle_gamma 120.00
loop_
_atom_site_label
_atom_site_fract_x
_atom_site_fract_y
_atom_site_fract_z
Mn1 0.0000 0.0000 0.2478
Tl1 0.0000 0.0000 0.0000
Hg1 0.0000 0.0000 0.5000
```

Computed properties:
ρ in g/cm3: 11.5

(R)
## Mn2TlHg (PBEsol)

Data for an optimized crystal structure of Mn2TlHg.

Geometry as CIF:
```
data_Mn2TlHg
_space_group_name_H-M_alt 'C 1 m 1'
_space_group_IT_number 8
_space_group_name_Hall 'C -2y'
_cell_length_a 10.7636
_cell_length_b 3.1129
_cell_length_c 4.6323
_cell_angle_alpha 90.00
_cell_angle_beta 112.91
_cell_angle_gamma 90.00
loop_
_atom_site_label
_atom_site_fract_x
_atom_site_fract_y
_atom_site_fract_z
Mn1 0.0000 0.0000 0.0000
Mn2 0.2219 0.5000 0.2608
Tl1 0.2352 0.0000 0.7724
Hg1 0.4655 0.0000 0.4645
```

Computed properties:
ρ in g/cm3: 12.0

Relative energies with respect to the most stable structure, expressed in eV/atom: (P) 0.021; (Q) 0.054; (R) 0.000.

(P)
## MnHg2W (PBEsol)

Data for an optimized crystal structure of MnHg2W.

Geometry as CIF:
```
data_MnHg2W
_space_group_name_H-M_alt 'I -4 m 2'
_space_group_IT_number 119
_space_group_name_Hall 'I -4 -2'
_cell_length_a 4.1126
_cell_length_b 4.1126
_cell_length_c 7.9562
_cell_angle_alpha 90.00
_cell_angle_beta 90.00
_cell_angle_gamma 90.00
loop_
_atom_site_label
_atom_site_fract_x
_atom_site_fract_y
_atom_site_fract_z
Mn1 0.0000 0.0000 0.0000
Hg1 0.0000 0.0000 0.5000
Hg2 0.0000 0.5000 0.7500
W1 0.0000 0.5000 0.2500
```

Computed properties:
ρ in g/cm3: 15.8

(Q)
## MnHg2W (PBEsol)

Data for an optimized crystal structure of MnHg2W.

Geometry as CIF:
```
data_MnHg2W
_space_group_name_H-M_alt 'I m m 2'
_space_group_IT_number 44
_space_group_name_Hall 'I 2 -2'
_cell_length_a 2.9982
_cell_length_b 4.7746
_cell_length_c 9.5463
_cell_angle_alpha 90.00
_cell_angle_beta 90.00
_cell_angle_gamma 90.00
loop_
_atom_site_label
_atom_site_fract_x
_atom_site_fract_y
_atom_site_fract_z
Mn1 0.0000 0.0000 0.0000
Hg1 0.0000 0.0000 0.4635
Hg2 0.0000 0.5000 0.2446
W1 0.0000 0.5000 0.6867
```

Computed properties:
ρ in g/cm3: 15.6

Relative energies with respect to the most stable structure, expressed in eV/atom: (P) 0.136; (Q) 0.000.

(P)
## ZrMnHg (PBEsol)

Data for an optimized crystal structure of ZrMnHg.

Geometry as CIF:
```
data_ZrMnHg
_space_group_name_H-M_alt 'I 4 m m'
_space_group_IT_number 107
_space_group_name_Hall 'I 4 -2'
_cell_length_a 3.4081
_cell_length_b 3.4081
_cell_length_c 9.2729
_cell_angle_alpha 90.00
_cell_angle_beta 90.00
_cell_angle_gamma 90.00
loop_
_atom_site_label
_atom_site_fract_x
_atom_site_fract_y
_atom_site_fract_z
Zr1 0.0000 0.0000 0.0000
Mn1 0.0000 0.0000 0.6551
Hg1 0.0000 0.0000 0.3148
```

Computed properties:
ρ in g/cm3: 10.7

(Q)
## ZrMnHg (PBEsol)

Data for an optimized crystal structure of ZrMnHg.

Geometry as CIF:
```
data_ZrMnHg
_space_group_name_H-M_alt 'P 3 m 1'
_space_group_IT_number 156
_space_group_name_Hall 'P 3 -2"'
_cell_length_a 3.0907
_cell_length_b 3.0907
_cell_length_c 6.8415
_cell_angle_alpha 90.00
_cell_angle_beta 90.00
_cell_angle_gamma 120.00
loop_
_atom_site_label
_atom_site_fract_x
_atom_site_fract_y
_atom_site_fract_z
Zr1 0.0000 0.0000 0.0000
Mn1 0.3333 0.6667 0.3148
Hg1 0.6667 0.3333 0.6337
```

Computed properties:
ρ in g/cm3: 10.2

(R)
## ZrMnHg (PBEsol)

Data for an optimized crystal structure of ZrMnHg.

Geometry as CIF:
```
data_ZrMnHg
_space_group_name_H-M_alt 'F -4 3 m'
_space_group_IT_number 216
_space_group_name_Hall 'F -4 2 3'
_cell_length_a 6.4402
_cell_length_b 6.4402
_cell_length_c 6.4402
_cell_angle_alpha 90.00
_cell_angle_beta 90.00
_cell_angle_gamma 90.00
loop_
_atom_site_label
_atom_site_fract_x
_atom_site_fract_y
_atom_site_fract_z
Zr1 0.0000 0.0000 0.0000
Mn1 0.2500 0.2500 0.7500
Hg1 0.2500 0.2500 0.2500
```

Computed properties:
ρ in g/cm3: 8.6

Relative energies with respect to the most stable structure, expressed in eV/atom: (P) 0.000; (Q) 0.194; (R) 0.759.

(P)
## Hg2Mo (PBEsol)

Data for an optimized crystal structure of Hg2Mo.

Geometry as CIF:
```
data_Hg2Mo
_space_group_name_H-M_alt 'I 4/m c m'
_space_group_IT_number 140
_space_group_name_Hall '-I 4 2c'
_cell_length_a 6.9790
_cell_length_b 6.9790
_cell_length_c 4.9646
_cell_angle_alpha 90.00
_cell_angle_beta 90.00
_cell_angle_gamma 90.00
loop_
_atom_site_label
_atom_site_fract_x
_atom_site_fract_y
_atom_site_fract_z
Hg1 0.1659 0.3341 0.0000
Mo1 0.0000 0.0000 0.2500
```

Computed properties:
ρ in g/cm3: 13.7

(Q)
## Hg2Mo (PBEsol)

Data for an optimized crystal structure of Hg2Mo.

Geometry as CIF:
```
data_Hg2Mo
_space_group_name_H-M_alt 'P 63/m m c'
_space_group_IT_number 194
_space_group_name_Hall '-P 6c 2c'
_cell_length_a 4.7659
_cell_length_b 4.7659
_cell_length_c 5.7784
_cell_angle_alpha 90.00
_cell_angle_beta 90.00
_cell_angle_gamma 120.00
loop_
_atom_site_label
_atom_site_fract_x
_atom_site_fract_y
_atom_site_fract_z
Hg1 0.0000 0.0000 0.0000
Hg2 0.3333 0.6667 0.2500
Mo1 0.3333 0.6667 0.7500
```

Computed properties:
ρ in g/cm3: 14.5

Relative energies with respect to the most stable structure, expressed in eV/atom: (P) 0.000; (Q) 0.316.